Record 1
# GGA-PBE Tl3Cd9Hg2, optimized geometry
data_Tl3Cd9Hg2
_space_group_name_H-M_alt 'P 1'
_space_group_IT_number 1
_space_group_name_Hall 'P 1'
_cell_length_a 4.5210
_cell_length_b 9.2523
_cell_length_c 9.2523
_cell_angle_alpha 82.27
_cell_angle_beta 75.86
_cell_angle_gamma 75.86
loop_
_atom_site_label
_atom_site_fract_x
_atom_site_fract_y
_atom_site_fract_z
Cd1 0.3709 0.0055 0.2527
Cd2 0.8409 0.4470 0.8713
Cd3 0.6291 0.7473 0.9945
Cd4 0.0000 0.5000 0.5000
Cd5 0.3709 0.2527 0.0055
Tl1 0.2885 0.7115 0.7115
Hg1 0.5000 0.3305 0.6695
Cd6 0.6291 0.9945 0.7473
Tl2 0.0000 0.0000 0.0000
Tl3 0.7115 0.2885 0.2885
Cd7 0.1591 0.1287 0.5530
Cd8 0.1591 0.5530 0.1287
Hg2 0.5000 0.6695 0.3305
Cd9 0.8409 0.8713 0.4470
# E_tot = -0.0406 Ha/atom
# symmetry = Immm



Record 2
# GGA-PBE PaReSi3, optimized geometry
data_PaReSi3
_space_group_name_H-M_alt 'P 1'
_space_group_IT_number 1
_space_group_name_Hall 'P 1'
_cell_length_a 5.6146
_cell_length_b 5.5403
_cell_length_c 5.8803
_cell_angle_alpha 90.00
_cell_angle_beta 90.00
_cell_angle_gamma 90.00
loop_
_atom_site_label
_atom_site_fract_x
_atom_site_fract_y
_atom_site_fract_z
Si1 0.9572 0.4776 0.9271
Si2 0.4573 0.8752 0.4272
Pa1 0.9293 0.0112 0.2008
Si3 0.9573 0.4776 0.4744
Si4 0.4573 0.8752 0.9744
Re1 0.6581 0.5676 0.2008
Re2 0.1581 0.7852 0.7008
Si5 0.8762 0.0979 0.7008
Pa2 0.4293 0.3415 0.7008
Si6 0.3762 0.2548 0.2008
# ΔE_f (raw) = -0.31 eV/atom
# symmetry = Pmn2_1
# energy above the most stable polymorph in this dataset = 0.49 eV/f.u.



Record 3
# GGA-PBE Re2AgSb, optimized geometry
data_Re2AgSb
_space_group_name_H-M_alt 'P 1'
_space_group_IT_number 1
_space_group_name_Hall 'P 1'
_cell_length_a 2.7728
_cell_length_b 2.7728
_cell_length_c 10.0552
_cell_angle_alpha 90.00
_cell_angle_beta 90.00
_cell_angle_gamma 112.79
loop_
_atom_site_label
_atom_site_fract_x
_atom_site_fract_y
_atom_site_fract_z
Ag1 0.5000 0.5000 0.7500
Sb1 0.5000 0.5000 0.2500
Re1 0.0000 0.0000 0.5082
Re2 0.0000 0.0000 0.9918
# ΔE_f (raw) = 1.05 eV/atom
# symmetry = Cmmm



Record 4
# GGA-PBE SrLi2F, optimized geometry
data_SrLi2F
_space_group_name_H-M_alt 'P 1'
_space_group_IT_number 1
_space_group_name_Hall 'P 1'
_cell_length_a 5.3101
_cell_length_b 5.3101
_cell_length_c 5.3101
_cell_angle_alpha 60.00
_cell_angle_beta 60.00
_cell_angle_gamma 60.00
loop_
_atom_site_label
_atom_site_fract_x
_atom_site_fract_y
_atom_site_fract_z
Li1 0.7500 0.7500 0.7500
Sr1 0.5000 0.5000 0.5000
Li2 0.2500 0.2500 0.2500
F1 0.0000 0.0000 0.0000
# ΔE_f (raw) = -0.38 eV/atom
# symmetry = Fm-3m
# energy above the most stable polymorph in this dataset = 3.19 eV/f.u.



Record 5
# GGA-PBE AcB2C2, optimized geometry
data_AcB2C2
_space_group_name_H-M_alt 'P 1'
_space_group_IT_number 1
_space_group_name_Hall 'P 1'
_cell_length_a 2.9551
_cell_length_b 2.9551
_cell_length_c 9.1290
_cell_angle_alpha 80.69
_cell_angle_beta 80.69
_cell_angle_gamma 60.00
loop_
_atom_site_label
_atom_site_fract_x
_atom_site_fract_y
_atom_site_fract_z
Ac1 0.5000 0.5000 0.5000
B1 0.2573 0.2573 0.2280
C1 0.0795 0.0795 0.7616
B2 0.7427 0.7427 0.7720
C2 0.9205 0.9205 0.2384
# symmetry = R-3m
# energy above the most stable polymorph in this dataset = 4.80 eV/f.u.



Record 6
# GGA-PBE BeSi2, optimized geometry
data_BeSi2
_space_group_name_H-M_alt 'P 1'
_space_group_IT_number 1
_space_group_name_Hall 'P 1'
_cell_length_a 4.5434
_cell_length_b 4.5434
_cell_length_c 4.5434
_cell_angle_alpha 145.79
_cell_angle_beta 135.48
_cell_angle_gamma 57.32
loop_
_atom_site_label
_atom_site_fract_x
_atom_site_fract_y
_atom_site_fract_z
Be1 0.0000 0.0000 0.0000
Si1 0.6574 0.6574 0.0000
Si2 0.3426 0.3426 0.0000
# ΔE_f (raw) = 0.45 eV/atom
# symmetry = Immm
# energy above the most stable polymorph in this dataset = 0.57 eV/f.u.



Record 7
# GGA-PBE Tl2Cd3Hg6, optimized geometry
data_Tl2Cd3Hg6
_space_group_name_H-M_alt 'P 1'
_space_group_IT_number 1
_space_group_name_Hall 'P 1'
_cell_length_a 3.5714
_cell_length_b 3.5714
_cell_length_c 26.6787
_cell_angle_alpha 86.16
_cell_angle_beta 86.16
_cell_angle_gamma 60.00
loop_
_atom_site_label
_atom_site_fract_x
_atom_site_fract_y
_atom_site_fract_z
Hg1 0.1822 0.1822 0.4533
Cd1 0.2770 0.2770 0.1690
Hg2 0.3615 0.3615 0.9155
Hg3 0.6385 0.6385 0.0845
Cd2 0.0000 0.0000 0.0000
Hg4 0.8178 0.8178 0.5467
Tl1 0.4506 0.4506 0.6480
Tl2 0.5494 0.5494 0.3520
Hg5 0.0848 0.0848 0.7455
Cd3 0.7230 0.7230 0.8310
Hg6 0.9152 0.9152 0.2545
# E_tot = -0.0308 Ha/atom
# symmetry = R-3m



Record 8
# GGA-PBE Dy5ErAg4, optimized geometry
data_Dy5ErAg4
_space_group_name_H-M_alt 'P 1'
_space_group_IT_number 1
_space_group_name_Hall 'P 1'
_cell_length_a 3.6076
_cell_length_b 3.6076
_cell_length_c 19.5976
_cell_angle_alpha 90.00
_cell_angle_beta 90.00
_cell_angle_gamma 90.00
loop_
_atom_site_label
_atom_site_fract_x
_atom_site_fract_y
_atom_site_fract_z
Dy1 0.5000 0.5000 0.8756
Ag1 0.0000 0.0000 0.4063
Ag2 0.0000 0.0000 0.5937
Dy2 0.5000 0.5000 0.3114
Dy3 0.5000 0.5000 0.1244
Dy4 0.5000 0.5000 0.6886
Dy5 0.5000 0.5000 0.5000
Ag3 0.0000 0.0000 0.2180
Er1 0.0000 0.0000 0.0000
Ag4 0.0000 0.0000 0.7820
# E_tot = -0.1523 Ha/atom
# symmetry = P4/mmm



Record 9
# GGA-PBE TePIrPt, optimized geometry
data_TePIrPt
_space_group_name_H-M_alt 'P 1'
_space_group_IT_number 1
_space_group_name_Hall 'P 1'
_cell_length_a 3.0558
_cell_length_b 4.2600
_cell_length_c 6.4537
_cell_angle_alpha 82.47
_cell_angle_beta 90.01
_cell_angle_gamma 68.94
loop_
_atom_site_label
_atom_site_fract_x
_atom_site_fract_y
_atom_site_fract_z
Te1 0.3351 0.9126 0.2032
P1 0.1462 0.2893 0.6561
Ir1 0.8437 0.8940 0.5711
Pt1 0.0370 0.5092 0.9663
# ΔE_f (raw) = -0.20 eV/atom
# symmetry = Cm
# energy above the most stable polymorph in this dataset = 0.43 eV/f.u.



Record 10
# GGA-PBE SrCd2Br, optimized geometry
data_SrCd2Br
_space_group_name_H-M_alt 'P 1'
_space_group_IT_number 1
_space_group_name_Hall 'P 1'
_cell_length_a 5.7162
_cell_length_b 5.7162
_cell_length_c 5.7162
_cell_angle_alpha 60.00
_cell_angle_beta 60.00
_cell_angle_gamma 60.00
loop_
_atom_site_label
_atom_site_fract_x
_atom_site_fract_y
_atom_site_fract_z
Sr1 0.5000 0.5000 0.5000
Cd1 0.2500 0.2500 0.2500
Br1 0.0000 0.0000 0.0000
Cd2 0.7500 0.7500 0.7500
# ΔE_f (raw) = -0.32 eV/atom
# symmetry = Fm-3m
# energy above the most stable polymorph in this dataset = 1.49 eV/f.u.



Record 11
# GGA-PBE Mn3HIr, optimized geometry
data_Mn3HIr
_space_group_name_H-M_alt 'P 1'
_space_group_IT_number 1
_space_group_name_Hall 'P 1'
_cell_length_a 3.6598
_cell_length_b 3.6598
_cell_length_c 3.6598
_cell_angle_alpha 90.00
_cell_angle_beta 90.00
_cell_angle_gamma 90.00
loop_
_atom_site_label
_atom_site_fract_x
_atom_site_fract_y
_atom_site_fract_z
Mn1 0.0000 0.0000 0.5000
Mn2 0.0000 0.5000 0.0000
H1 0.0000 0.0000 0.0000
Mn3 0.5000 0.0000 0.0000
Ir1 0.5000 0.5000 0.5000
# symmetry = Pm-3m
# energy above the most stable polymorph in this dataset = 0.28 eV/f.u.



Record 12
# GGA-PBE Y8Sn3GeTe4, optimized geometry
data_Y8Sn3GeTe4
_space_group_name_H-M_alt 'P 1'
_space_group_IT_number 1
_space_group_name_Hall 'P 1'
_cell_length_a 8.7261
_cell_length_b 8.7837
_cell_length_c 8.7251
_cell_angle_alpha 119.79
_cell_angle_beta 120.00
_cell_angle_gamma 90.00
loop_
_atom_site_label
_atom_site_fract_x
_atom_site_fract_y
_atom_site_fract_z
Y1 0.7616 0.2702 0.0086
Ge1 0.0000 0.5000 0.0000
Sn1 0.5000 0.5000 0.0000
Y2 0.2384 0.7297 0.4768
Sn2 0.5000 0.5000 0.5000
Te1 0.0000 0.0000 0.5000
Y3 0.2539 0.2618 0.5078
Y4 0.2384 0.7298 0.9914
Y5 0.7529 0.7298 0.9914
Y6 0.7616 0.2703 0.5232
Sn3 0.0000 0.5000 0.5000
Te2 0.5000 0.0000 0.0000
Te3 0.5000 0.0000 0.5000
Te4 0.0000 0.0000 0.0000
Y7 0.7461 0.7382 0.4922
Y8 0.2471 0.2702 0.0086
# ΔE_f (raw) = -1.10 eV/atom
# symmetry = R-3m



Record 13
# GGA-PBE AgBiC3, optimized geometry
data_AgBiC3
_space_group_name_H-M_alt 'P 1'
_space_group_IT_number 1
_space_group_name_Hall 'P 1'
_cell_length_a 4.5320
_cell_length_b 4.5320
_cell_length_c 4.5320
_cell_angle_alpha 90.00
_cell_angle_beta 90.00
_cell_angle_gamma 90.00
loop_
_atom_site_label
_atom_site_fract_x
_atom_site_fract_y
_atom_site_fract_z
C1 0.0000 0.0000 0.5000
Bi1 0.0000 0.0000 0.0000
Ag1 0.5000 0.5000 0.5000
C2 0.5000 0.0000 0.0000
C3 0.0000 0.5000 0.0000
# symmetry = Pm-3m
# energy above the most stable polymorph in this dataset = 1.96 eV/f.u.



Record 14
# GGA-PBE Rb2BaNiH8, optimized geometry
data_Rb2BaNiH8
_space_group_name_H-M_alt 'P 1'
_space_group_IT_number 1
_space_group_name_Hall 'P 1'
_cell_length_a 5.6066
_cell_length_b 5.6066
_cell_length_c 6.9951
_cell_angle_alpha 90.00
_cell_angle_beta 90.00
_cell_angle_gamma 120.00
loop_
_atom_site_label
_atom_site_fract_x
_atom_site_fract_y
_atom_site_fract_z
Ni1 0.0000 0.0000 0.0000
H1 0.3333 0.6667 0.4350
H2 0.2517 0.1258 0.8730
H3 0.6667 0.3333 0.5650
Rb1 0.3333 0.6667 0.8325
H4 0.1258 0.8742 0.1270
H5 0.1258 0.2517 0.1270
H6 0.8742 0.7483 0.8730
H7 0.7483 0.8742 0.1270
H8 0.8742 0.1258 0.8730
Ba1 0.0000 0.0000 0.5000
Rb2 0.6667 0.3333 0.1675
# E_tot = -0.1180 Ha/atom
# symmetry = P-3m1



Record 15
# GGA-PBE Zr2Ga2Rh, optimized geometry
data_Zr2Ga2Rh
_space_group_name_H-M_alt 'P 1'
_space_group_IT_number 1
_space_group_name_Hall 'P 1'
_cell_length_a 6.6574
_cell_length_b 6.6574
_cell_length_c 4.0480
_cell_angle_alpha 90.00
_cell_angle_beta 90.00
_cell_angle_gamma 90.00
loop_
_atom_site_label
_atom_site_fract_x
_atom_site_fract_y
_atom_site_fract_z
Ga1 0.3658 0.8658 0.0000
Rh1 0.0000 0.0000 0.0000
Ga2 0.8658 0.6342 0.0000
Ga3 0.1342 0.3658 0.0000
Ga4 0.6342 0.1342 0.0000
Zr1 0.1718 0.6718 0.5000
Rh2 0.5000 0.5000 0.0000
Zr2 0.8282 0.3282 0.5000
Zr3 0.3282 0.1718 0.5000
Zr4 0.6718 0.8282 0.5000
# symmetry = P4/mbm
# energy above the most stable polymorph in this dataset = 0.00 eV/f.u.



Record 16
# GGA-PBE Li4Tb3HoS8, optimized geometry
data_Li4Tb3HoS8
_space_group_name_H-M_alt 'P 1'
_space_group_IT_number 1
_space_group_name_Hall 'P 1'
_cell_length_a 7.8472
_cell_length_b 7.6643
_cell_length_c 7.8459
_cell_angle_alpha 120.82
_cell_angle_beta 120.01
_cell_angle_gamma 90.00
loop_
_atom_site_label
_atom_site_fract_x
_atom_site_fract_y
_atom_site_fract_z
S1 0.2493 0.7506 0.0016
S2 0.7507 0.2494 0.5014
S3 0.2476 0.2494 0.9984
Li1 0.0000 0.0000 0.5000
Tb1 0.0000 0.5000 0.5000
S4 0.7506 0.7515 0.5012
S5 0.7524 0.7506 0.0016
Li2 0.5000 0.0000 0.5000
Tb2 0.5000 0.5000 0.5000
Ho1 0.0000 0.5000 0.0000
Li3 0.0000 0.0000 0.0000
S6 0.2494 0.2485 0.4988
S7 0.2493 0.7506 0.4986
S8 0.7507 0.2494 0.9984
Li4 0.5000 0.0000 0.0000
Tb3 0.5000 0.5000 0.0000
# ΔE_f (raw) = -1.85 eV/atom
# symmetry = R-3m



Record 17
# GGA-PBE Ac12Pt2Pb5, optimized geometry
data_Ac12Pt2Pb5
_space_group_name_H-M_alt 'P 1'
_space_group_IT_number 1
_space_group_name_Hall 'P 1'
_cell_length_a 8.5439
_cell_length_b 10.4252
_cell_length_c 10.5947
_cell_angle_alpha 104.41
_cell_angle_beta 90.00
_cell_angle_gamma 114.19
loop_
_atom_site_label
_atom_site_fract_x
_atom_site_fract_y
_atom_site_fract_z
Pb1 0.7055 0.4111 0.3634
Pt1 0.7330 0.0000 0.0000
Ac1 0.4957 0.9915 0.7812
Ac2 0.9917 0.9834 0.1787
Ac3 0.3972 0.2880 0.5655
Ac4 0.9081 0.3315 0.0890
Ac5 0.1092 0.7120 0.4345
Ac6 0.4234 0.3315 0.0890
Ac7 0.5043 0.0085 0.2188
Ac8 0.0083 0.0166 0.8213
Pt2 0.2670 0.0000 0.0000
Ac9 0.8908 0.2880 0.5655
Ac10 0.0919 0.6685 0.9110
Pb2 0.0000 0.0000 0.5000
Pb3 0.6867 0.3733 0.8308
Pb4 0.3133 0.6267 0.1692
Ac11 0.6028 0.7120 0.4345
Ac12 0.5766 0.6685 0.9110
Pb5 0.2945 0.5889 0.6366
# E_tot = -0.1708 Ha/atom
# symmetry = C2/m



Record 18
# GGA-PBE Pr12Sm7Zr, optimized geometry
data_Pr12Sm7Zr
_space_group_name_H-M_alt 'P 1'
_space_group_IT_number 1
_space_group_name_Hall 'P 1'
_cell_length_a 6.3223
_cell_length_b 11.5874
_cell_length_c 11.5874
_cell_angle_alpha 116.77
_cell_angle_beta 100.48
_cell_angle_gamma 100.48
loop_
_atom_site_label
_atom_site_fract_x
_atom_site_fract_y
_atom_site_fract_z
Pr1 0.5005 0.5893 0.4112
Sm1 0.3596 0.2448 0.2445
Pr2 0.4995 0.4107 0.5888
Pr3 0.9107 0.4112 0.8220
Pr4 0.5704 0.9998 0.6456
Pr5 0.0752 0.6456 0.6458
Sm2 0.8853 0.0003 0.2448
Zr1 0.0000 0.0000 0.0000
Sm3 0.5000 0.0000 0.0000
Sm4 0.6404 0.7552 0.7555
Pr6 0.4293 0.3542 0.9998
Sm5 0.1151 0.7555 0.0003
Pr7 0.9113 0.8220 0.4107
Pr8 0.0887 0.1780 0.5893
Pr9 0.5707 0.6458 0.0002
Sm6 0.8849 0.2445 0.9997
Pr10 0.9248 0.3544 0.3542
Pr11 0.4296 0.0002 0.3544
Pr12 0.0893 0.5888 0.1780
Sm7 0.1147 0.9997 0.7552
# E_tot = -0.1744 Ha/atom
# symmetry = R-3m



Record 19
# GGA-PBE AsIO3, optimized geometry
data_AsIO3
_space_group_name_H-M_alt 'P 1'
_space_group_IT_number 1
_space_group_name_Hall 'P 1'
_cell_length_a 4.1471
_cell_length_b 4.1471
_cell_length_c 4.1471
_cell_angle_alpha 90.00
_cell_angle_beta 90.00
_cell_angle_gamma 90.00
loop_
_atom_site_label
_atom_site_fract_x
_atom_site_fract_y
_atom_site_fract_z
O1 0.0000 0.0000 0.5000
O2 0.5000 0.0000 0.0000
O3 0.0000 0.5000 0.0000
As1 0.5000 0.5000 0.5000
I1 0.0000 0.0000 0.0000
# ΔE_f (raw) = 0.47 eV/atom
# symmetry = Pm-3m



Record 20
# GGA-PBE MnRe2Ni, optimized geometry
data_MnRe2Ni
_space_group_name_H-M_alt 'P 1'
_space_group_IT_number 1
_space_group_name_Hall 'P 1'
_cell_length_a 2.6817
_cell_length_b 2.6817
_cell_length_c 7.4298
_cell_angle_alpha 90.00
_cell_angle_beta 90.00
_cell_angle_gamma 90.02
loop_
_atom_site_label
_atom_site_fract_x
_atom_site_fract_y
_atom_site_fract_z
Ni1 0.5000 0.5000 0.7422
Re1 0.0000 0.0000 0.9841
Mn1 0.0000 0.0000 0.5089
Re2 0.5000 0.5000 0.2648
# symmetry = P4mm
# energy above the most stable polymorph in this dataset = 0.38 eV/f.u.



Record 21
# GGA-PBE Fe2NiAu, optimized geometry
data_Fe2NiAu
_space_group_name_H-M_alt 'P 1'
_space_group_IT_number 1
_space_group_name_Hall 'P 1'
_cell_length_a 6.7730
_cell_length_b 6.7730
_cell_length_c 5.4193
_cell_angle_alpha 51.33
_cell_angle_beta 51.33
_cell_angle_gamma 90.00
loop_
_atom_site_label
_atom_site_fract_x
_atom_site_fract_y
_atom_site_fract_z
Fe1 0.3750 0.4075 0.7500
Ni1 0.2500 0.7500 0.5000
Au1 0.7500 0.2500 0.5000
Fe2 0.1575 0.6250 0.2500
Fe3 0.5925 0.1250 0.2500
Fe4 0.8750 0.8425 0.7500
Au2 0.0000 0.0000 0.0000
Ni2 0.5000 0.5000 0.0000
# symmetry = I-42d
# energy above the most stable polymorph in this dataset = 1.47 eV/f.u.



Record 22
# GGA-PBE ScRe2Br, optimized geometry
data_ScRe2Br
_space_group_name_H-M_alt 'P 1'
_space_group_IT_number 1
_space_group_name_Hall 'P 1'
_cell_length_a 4.5498
_cell_length_b 4.5498
_cell_length_c 4.5498
_cell_angle_alpha 60.00
_cell_angle_beta 60.00
_cell_angle_gamma 60.00
loop_
_atom_site_label
_atom_site_fract_x
_atom_site_fract_y
_atom_site_fract_z
Br1 0.5000 0.5000 0.5000
Sc1 0.0000 0.0000 0.0000
Re1 0.2500 0.2500 0.2500
Re2 0.7500 0.7500 0.7500
# ΔE_f (raw) = 1.12 eV/atom
# symmetry = Fm-3m
# energy above the most stable polymorph in this dataset = 4.81 eV/f.u.



Record 23
# GGA-PBE Ba3NbPb2O8, optimized geometry
data_Ba3NbPb2O8
_space_group_name_H-M_alt 'P 1'
_space_group_IT_number 1
_space_group_name_Hall 'P 1'
_cell_length_a 6.1213
_cell_length_b 6.1213
_cell_length_c 8.2029
_cell_angle_alpha 90.00
_cell_angle_beta 90.00
_cell_angle_gamma 120.00
loop_
_atom_site_label
_atom_site_fract_x
_atom_site_fract_y
_atom_site_fract_z
O1 0.8463 0.6926 0.6457
O2 0.3333 0.6667 0.9205
O3 0.8463 0.1537 0.6457
Ba1 0.3333 0.6667 0.6218
O4 0.6926 0.8463 0.3543
Ba2 0.6667 0.3333 0.3782
Pb1 0.3333 0.6667 0.1905
Nb1 0.0000 0.0000 0.5000
O5 0.3074 0.1537 0.6457
O6 0.6667 0.3333 0.0795
O7 0.1537 0.3074 0.3543
O8 0.1537 0.8463 0.3543
Ba3 0.0000 0.0000 0.0000
Pb2 0.6667 0.3333 0.8095
# ΔE_f (raw) = -1.99 eV/atom
# symmetry = P-3m1